The following is a PBE-GGA calculation of an optimized crystal structure of LuAlSi, from Alexandria.

Cell lengths 5.412, 5.412, 5.619 Å; angles 90.00, 90.00, 136.91 degrees
Fractional positions:
1 Lu 0.195 0.805 0.750
2 Lu 0.805 0.195 0.250
3 Al 0.500 0.500 0.000
4 Al 0.500 0.500 0.500
5 Si 0.101 0.899 0.250
6 Si 0.899 0.101 0.750

Output
- space-group type = Cmcm
- energy relative to the elements, uncorrected (eV per atom) = -0.587


The following is a PBE-GGA calculation of an optimized crystal structure of SmLuAl4, from Alexandria.

Cell lengths 5.566, 5.566, 5.566 Å; angles 60.00, 60.00, 60.00 degrees
Fractional positions:
1 Sm 0.000 0.000 0.000
2 Lu 0.250 0.250 0.250
3 Al 0.125 0.625 0.625
4 Al 0.625 0.125 0.625
5 Al 0.625 0.625 0.125
6 Al 0.625 0.625 0.625

Output
- space-group type = F-43m
- ΔE_f (meV/atom) = -487


The following is a PBE-GGA calculation of an optimized crystal structure of SmLu2Al, from Alexandria.

Cell lengths 4.726, 4.726, 4.735 Å; angles 90.00, 90.00, 90.00 degrees
Fractional positions:
1 Sm 0.000 0.000 0.000
2 Lu 0.000 0.500 0.500
3 Lu 0.500 0.000 0.500
4 Al 0.500 0.500 0.000

Output
- space-group type = P4/mmm
- ΔE_f (meV/atom) = -180


The following is a PBE-GGA calculation of an optimized crystal structure of SmLu2Al, from Alexandria.

Cell lengths 11.567, 11.567, 11.567 Å; angles 16.90, 16.90, 16.90 degrees
Fractional positions:
1 Sm 0.000 0.000 0.000
2 Lu 0.100 0.100 0.100
3 Lu 0.900 0.900 0.900
4 Al 0.500 0.500 0.500

Output
- space-group type = R-3m
- ΔE_f (meV/atom) = 97


The following is a PBE-GGA calculation of an optimized crystal structure of SmLuAl2, from Alexandria.

Cell lengths 5.102, 5.102, 5.102 Å; angles 60.00, 60.00, 60.00 degrees
Fractional positions:
1 Sm 0.000 0.000 0.000
2 Lu 0.500 0.500 0.500
3 Al 0.250 0.250 0.250
4 Al 0.750 0.750 0.750

Output
- space-group type = Fm-3m
- ΔE_f (meV/atom) = -367


The following is a PBE-GGA calculation of an optimized crystal structure of SmLuAl2, from Alexandria.

Cell lengths 3.608, 3.608, 7.162 Å; angles 90.00, 90.00, 90.00 degrees
Fractional positions:
1 Sm 0.000 0.000 0.000
2 Lu 0.000 0.000 0.500
3 Al 0.500 0.500 0.268
4 Al 0.500 0.500 0.732

Output
- space-group type = P4/mmm
- ΔE_f (meV/atom) = -379


The following is a PBE-GGA calculation of an optimized crystal structure of SmLu2Al, from Alexandria.

Cell lengths 3.488, 3.488, 8.851 Å; angles 90.00, 90.00, 90.00 degrees
Fractional positions:
1 Sm 0.000 0.000 0.000
2 Lu 0.500 0.500 0.290
3 Lu 0.500 0.500 0.710
4 Al 0.000 0.000 0.500

Output
- space-group type = P4/mmm
- ΔE_f (meV/atom) = -202


The following is a PBE-GGA calculation of an optimized crystal structure of SmLu2Al, from Alexandria.

Cell lengths 5.308, 5.308, 5.308 Å; angles 60.00, 60.00, 60.00 degrees
Fractional positions:
1 Sm 0.000 0.000 0.000
2 Lu 0.250 0.250 0.250
3 Lu 0.750 0.750 0.750
4 Al 0.500 0.500 0.500

Output
- space-group type = Fm-3m
- ΔE_f (meV/atom) = 13


The following is a PBE-GGA calculation of an optimized crystal structure of TbSmLuAl, from Alexandria.

Cell lengths 5.350, 5.350, 5.350 Å; angles 60.00, 60.00, 60.00 degrees
Fractional positions:
1 Tb 0.000 0.000 0.000
2 Sm 0.500 0.500 0.500
3 Lu 0.750 0.750 0.750
4 Al 0.250 0.250 0.250

Output
- space-group type = F-43m
- ΔE_f (meV/atom) = -81


The following is a PBE-GGA calculation of an optimized crystal structure of SmLuAlTc, from Alexandria.

Cell lengths 4.975, 4.975, 4.975 Å; angles 60.00, 60.00, 60.00 degrees
Fractional positions:
1 Sm 0.000 0.000 0.000
2 Lu 0.500 0.500 0.500
3 Al 0.250 0.250 0.250
4 Tc 0.750 0.750 0.750

Output
- space-group type = F-43m
- ΔE_f (meV/atom) = -125


The following is a PBE-GGA calculation of an optimized crystal structure of SmLuThAl, from Alexandria.

Cell lengths 5.388, 5.388, 5.388 Å; angles 60.00, 60.00, 60.00 degrees
Fractional positions:
1 Sm 0.000 0.000 0.000
2 Lu 0.250 0.250 0.250
3 Th 0.500 0.500 0.500
4 Al 0.750 0.750 0.750

Output
- space-group type = F-43m
- ΔE_f (meV/atom) = -33


The following is a PBE-GGA calculation of an optimized crystal structure of SmLuAlTl, from Alexandria.

Cell lengths 5.251, 5.251, 5.251 Å; angles 60.00, 60.00, 60.00 degrees
Fractional positions:
1 Sm 0.000 0.000 0.000
2 Lu 0.500 0.500 0.500
3 Al 0.750 0.750 0.750
4 Tl 0.250 0.250 0.250

Output
- space-group type = F-43m
- ΔE_f (meV/atom) = -311


The following is a PBE-GGA calculation of an optimized crystal structure of SmYLuAl, from Alexandria.

Cell lengths 5.355, 5.355, 5.355 Å; angles 60.00, 60.00, 60.00 degrees
Fractional positions:
1 Sm 0.000 0.000 0.000
2 Y 0.500 0.500 0.500
3 Lu 0.250 0.250 0.250
4 Al 0.750 0.750 0.750

Output
- space-group type = F-43m
- ΔE_f (meV/atom) = -84


The following is a PBE-GGA calculation of an optimized crystal structure of SmLuAlZn, from Alexandria.

Cell lengths 5.083, 5.083, 5.083 Å; angles 60.00, 60.00, 60.00 degrees
Fractional positions:
1 Sm 0.000 0.000 0.000
2 Lu 0.500 0.500 0.500
3 Al 0.250 0.250 0.250
4 Zn 0.750 0.750 0.750

Output
- space-group type = F-43m
- ΔE_f (meV/atom) = -352


The following is a PBE-GGA calculation of an optimized crystal structure of SrLuAl2, from Alexandria.

Cell lengths 3.712, 3.712, 7.502 Å; angles 90.00, 90.00, 90.00 degrees
Fractional positions:
1 Sr 0.000 0.000 0.000
2 Lu 0.000 0.000 0.500
3 Al 0.500 0.500 0.292
4 Al 0.500 0.500 0.708

Output
- space-group type = P4/mmm
- ΔE_f (meV/atom) = -237


The following is a PBE-GGA calculation of an optimized crystal structure of SrLuAl2, from Alexandria.

Cell lengths 5.266, 5.266, 5.266 Å; angles 60.00, 60.00, 60.00 degrees
Fractional positions:
1 Sr 0.000 0.000 0.000
2 Lu 0.500 0.500 0.500
3 Al 0.250 0.250 0.250
4 Al 0.750 0.750 0.750

Output
- space-group type = Fm-3m
- ΔE_f (meV/atom) = -140


The following is a PBE-GGA calculation of an optimized crystal structure of SrLuAlZn, from Alexandria.

Cell lengths 5.256, 5.256, 5.256 Å; angles 60.00, 60.00, 60.00 degrees
Fractional positions:
1 Sr 0.000 0.000 0.000
2 Lu 0.500 0.500 0.500
3 Al 0.250 0.250 0.250
4 Zn 0.750 0.750 0.750

Output
- space-group type = F-43m
- ΔE_f (meV/atom) = -159


The following is a PBE-GGA calculation of an optimized crystal structure of Lu2TaAl, from Alexandria.

Cell lengths 11.034, 11.034, 11.034 Å; angles 16.28, 16.28, 16.28 degrees
Fractional positions:
1 Lu 0.092 0.092 0.092
2 Lu 0.908 0.908 0.908
3 Ta 0.000 0.000 0.000
4 Al 0.500 0.500 0.500

Output
- space-group type = R-3m
- ΔE_f (meV/atom) = 426


The following is a PBE-GGA calculation of an optimized crystal structure of LuTaAl4, from Alexandria.

Cell lengths 5.288, 5.288, 5.288 Å; angles 60.00, 60.00, 60.00 degrees
Fractional positions:
1 Lu 0.000 0.000 0.000
2 Ta 0.250 0.250 0.250
3 Al 0.126 0.625 0.625
4 Al 0.625 0.126 0.625
5 Al 0.625 0.625 0.126
6 Al 0.625 0.625 0.625

Output
- space-group type = F-43m
- ΔE_f (meV/atom) = -325


The following is a PBE-GGA calculation of an optimized crystal structure of TbLu2Al, from Alexandria.

Cell lengths 11.555, 11.555, 11.555 Å; angles 16.84, 16.84, 16.84 degrees
Fractional positions:
1 Tb 0.000 0.000 0.000
2 Lu 0.100 0.100 0.100
3 Lu 0.900 0.900 0.900
4 Al 0.500 0.500 0.500

Output
- space-group type = R-3m
- ΔE_f (meV/atom) = 113


Number 1: DOS(E_F) 0.3753 states/eV per atom. Number 2: DOS(E_F) 0.8332 states/eV per atom. Number 3: DOS(E_F) 1.1352 states/eV per atom. Number 4: DOS(E_F) 1.4771 states/eV per atom. Number 5: DOS(E_F) 0.4765 states/eV per atom. Number 6: DOS(E_F) 0.4153 states/eV per atom. Number 7: DOS(E_F) 0.7746 states/eV per atom. Number 8: DOS(E_F) 1.5798 states/eV per atom. Number 9: DOS(E_F) 1.4979 states/eV per atom. Number 10: DOS(E_F) 0.8999 states/eV per atom. Number 11: DOS(E_F) 1.3319 states/eV per atom. Number 12: DOS(E_F) 0.2740 states/eV per atom. Number 13: DOS(E_F) 1.5225 states/eV per atom. Number 14: DOS(E_F) 0.7525 states/eV per atom. Number 15: DOS(E_F) 0.4842 states/eV per atom. Number 16: DOS(E_F) 0.6752 states/eV per atom. Number 17: DOS(E_F) 0.7013 states/eV per atom. Number 18: DOS(E_F) 1.2458 states/eV per atom. Number 19: DOS(E_F) 0.1608 states/eV per atom. Number 20: DOS(E_F) 1.4958 states/eV per atom.